Material: CaAsBr2
Method: DFT, meta-GGA SCAN
State: single point on PBEsol structure

M_tot ... 2.98 μB per formula unit
Calculated volume ... 25.67 Å³ per atom
E_tot ... -0.6523 Ha/atom
Uncorrected formation energy ... -0.56 eV/atom

a = 7.4334 Å, b = 7.4334 Å, c = 7.4334 Å
α = 90.00°, β = 90.00°, γ = 90.00°
Closest atoms and distances in Å follow each position.
Space group F-43m (No. 216)
Unique sites:
Ca  0.0000  0.0000  0.0000 [4 per cell]  4 Br 3.22, 4 As 3.22
As  0.2500  0.2500  0.7500 [4 per cell]  4 Br 3.22, 4 Ca 3.22
Br  0.0000  0.0000  0.5000 [4 per cell]  4 As 3.22, 4 Br 3.22
Br  0.2500  0.2500  0.2500 [4 per cell]  4 Br 3.22, 4 Ca 3.22